(1)
VASP calculation (PBE-GGA) on a relaxed Sr3Bi4O12 crystal.

Computed properties:
Space-group type   Im-3 (204)
E_form (uncorrected)   -1.587 eV/atom
D(E_F)   2.5 states/eV/cell

POSCAR file:
```
Sr3Bi4O12
1.0
-4.274 4.274 4.274
4.274 -4.274 4.274
4.274 4.274 -4.274
Sr Bi O
3 4 12
Direct
0.000 0.500 0.500
0.500 0.000 0.500
0.500 0.500 0.000
0.000 0.000 0.500
0.000 0.500 0.000
0.500 0.000 0.000
0.500 0.500 0.500
0.074 0.300 0.774
0.226 0.527 0.300
0.226 0.926 0.700
0.300 0.226 0.527
0.300 0.774 0.074
0.473 0.700 0.774
0.527 0.300 0.226
0.700 0.226 0.926
0.700 0.774 0.473
0.774 0.074 0.300
0.774 0.473 0.700
0.926 0.700 0.226
```

***

(2)
VASP calculation (PBE-GGA) on a relaxed Pu2CdIr crystal.

Computed properties:
Space-group type   P4/mmm (123)
Distance to the lowest polymorph of the same formula   0.00 eV per formula unit
D(E_F)   12.2 states/eV/cell

POSCAR file:
```
Pu2CdIr
1.0
3.317 0.000 0.000
0.000 3.317 0.000
0.000 0.000 8.514
Pu Cd Ir
2 1 1
Direct
0.000 0.000 0.207
0.000 0.000 0.793
0.500 0.500 0.500
0.500 0.500 0.000
```